Entry 1:
GGA-PBEsol Al2SiAg7, relaxed; total DFT energy (no corrections) = -3.74 eV per atom; energy relative to the elements, uncorrected = -0.03 eV per atom; symmetry = No. 4
1.0
6.794 0.026 0.000
-0.115 6.889 0.000
0.000 0.000 6.891
Al Ag Si
4 14 2
Direct
0.191 0.560 0.309
0.689 0.937 0.187
0.311 0.063 0.687
0.809 0.440 0.809
0.566 0.184 0.935
0.201 0.381 0.954
0.878 0.295 0.205
0.042 0.952 0.380
0.370 0.208 0.297
0.296 0.874 0.043
0.630 0.792 0.797
0.452 0.451 0.629
0.434 0.816 0.435
0.548 0.549 0.129
0.122 0.705 0.705
0.704 0.126 0.543
0.958 0.048 0.880
0.799 0.619 0.454
0.060 0.311 0.560
0.940 0.689 0.060

Entry 2:
GGA-PBEsol AlTl2BPt, relaxed; total DFT energy (no corrections) = -3.38 eV per atom; symmetry = No. 123; formation energy from the elements = 124.5 kJ/mol of atoms
1.0
-0.411 -2.863 3.556
1.322 -4.016 -3.080
5.039 0.749 1.186
Tl Pt Al B
2 1 1 1
Direct
0.000 0.000 0.500
0.000 0.500 0.000
0.500 0.000 0.000
0.000 0.000 0.000
0.500 0.500 0.500

Entry 3:
GGA-PBEsol Zn2TcNi, relaxed; excess energy over the best structure of this formula in the dataset = 0.111 eV/atom; total DFT energy (no corrections) = -5.01 eV per atom; symmetry = No. 139; formation energy from the elements = 13.6 kJ/mol of atoms
1.0
3.687 0.000 0.000
0.000 3.687 0.000
-1.843 -1.843 3.744
Ni Zn Tc
1 2 1
Direct
0.500 0.500 0.000
0.250 0.750 0.500
0.750 0.250 0.500
0.000 0.000 0.000

Entry 4:
GGA-PBEsol HfTl2Cl, relaxed; total DFT energy (no corrections) = -4.15 eV per atom; energy relative to the elements, uncorrected = 0.29 eV per atom; symmetry = No. 225
1.0
5.147 0.000 0.000
2.574 4.458 0.000
2.574 1.486 4.203
Cl Hf Tl
1 1 2
Direct
0.000 0.000 0.000
0.500 0.500 0.500
0.250 0.250 0.250
0.750 0.750 0.750

Density of states at the Fermi level, record by record: 5.9 2.3 6.2 2.7 states/eV per cell